[1]
HoGaHg2 PBE-GGA optimized geometry; electronic total energy = -38.35 eV for the cell shown; magnetic moment = 0.00 μB/cell
1.0
4.894 0.000 0.000
0.000 6.574 0.000
0.000 0.000 11.190
Ho Ga Hg
4 4 8
Direct
0.000 0.000 0.000
0.000 0.500 0.500
0.500 0.000 0.327
0.500 0.500 0.827
0.000 0.238 0.745
0.000 0.262 0.245
0.000 0.738 0.245
0.000 0.762 0.745
0.000 0.000 0.494
0.000 0.500 0.994
0.500 0.000 0.830
0.500 0.248 0.586
0.500 0.252 0.086
0.500 0.500 0.330
0.500 0.748 0.086
0.500 0.752 0.586

[2]
HoGa2Hg PBE-GGA optimized geometry; electronic total energy = -50.16 eV for the cell shown; magnetic moment = 0.00 μB/cell
1.0
4.780 0.000 0.000
0.000 11.123 0.000
0.000 0.000 6.303
Ho Ga Hg
4 8 4
Direct
0.250 0.169 0.000
0.250 0.669 0.500
0.750 0.331 0.500
0.750 0.831 0.000
0.250 0.155 0.515
0.250 0.426 0.240
0.250 0.655 0.015
0.250 0.926 0.740
0.750 0.074 0.740
0.750 0.345 0.015
0.750 0.574 0.240
0.750 0.845 0.515
0.250 0.415 0.764
0.250 0.915 0.264
0.750 0.085 0.264
0.750 0.585 0.764